1.
Material: NiHgBMo
Method: DFT, PBE
State: optimized geometry

The space group is F-43m (No. 216) and the conventional cell measures 6.0355, 6.0355 and 6.0355 Å, with angles of 90.00, 90.00 and 90.00 degrees. The asymmetric unit holds Ni at (0.0000, 0.0000, 0.0000), Hg at (0.2500, 0.2500, 0.2500), B at (0.2500, 0.2500, 0.7500) and Mo at (0.0000, 0.0000, 0.5000).

***

2.
Material: NaHgB
Method: DFT, PBE
State: optimized geometry

The space group is F-43m (No. 216) and the conventional cell measures 6.4180, 6.4180 and 6.4180 Å, with angles of 90.00, 90.00 and 90.00 degrees. The asymmetric unit holds Na at (0.0000, 0.0000, 0.0000), Hg at (0.2500, 0.2500, 0.2500) and B at (0.2500, 0.2500, 0.7500).

***

3.
Material: NaHgB4
Method: DFT, PBE
State: optimized geometry

The space group is Immm (No. 71) and the conventional cell measures 3.0907, 5.2395 and 8.5466 Å, with angles of 90.00, 90.00 and 90.00 degrees. The asymmetric unit holds Na at (0.0000, 0.0000, 0.0000), Hg at (0.0000, 0.0000, 0.5000) and B at (0.0000, 0.3280, 0.2563).

***

4.
Material: NaHgB4
Method: DFT, PBE
State: optimized geometry

The space group is P6/mmm (No. 191) and the conventional cell measures 3.1010, 3.1010 and 8.2910 Å, with angles of 90.00, 90.00 and 120.00 degrees. The asymmetric unit holds Na at (0.0000, 0.0000, 0.0000), Hg at (0.0000, 0.0000, 0.5000) and B at (0.3333, 0.6667, 0.2495).

***

Q: Which total DFT energy (no corrections) values were calculated for the entries above? A: -0.360 -0.106 -0.312 -0.306, in Ry/atom.